## MnCN2O (GGA+U)

Data for a geometry-optimized MnCN2O structure.

## Properties
Raw total energy in eV per atom: -5.231
Magnetic moment in μB/atom: 0.005

Unit cell a=3.5261 b=3.5261 c=4.0220 alpha=90.00 beta=90.00 gamma=90.00
Last column: nearest neighbours and their distance in Å.
Fractional positions:
C 0.5000 0.5000 0.5000  4 O 2.49, 8 N 2.67
Mn 0.0000 0.0000 0.0000  4 N 1.76
O 0.0000 0.0000 0.5000  2 Mn 2.01
N 0.0000 0.5000 0.0000  2 Mn 1.76
N 0.5000 0.0000 0.0000  2 Mn 1.76

---

## MnC2S2N2O12 (GGA+U)

Data for a geometry-optimized MnC2S2N2O12 structure.

## Properties
Raw total energy in eV per atom: -5.916
Magnetic moment in μB/atom: 0.264

Unit cell a=4.9176 b=8.6040 c=7.8993 alpha=82.03 beta=94.18 gamma=72.83
Last column: nearest neighbours and their distance in Å.
Fractional positions:
S 0.1646 0.2309 0.2187  4 O 1.45-1.52
S 0.8354 0.7691 0.7813  4 O 1.45-1.52
Mn 0.0000 0.0000 0.0000  6 O 1.85-1.96
C 0.4655 0.5716 0.4415  1 N 1.17
C 0.5345 0.4284 0.5585  1 N 1.17
O 0.4790 0.2019 0.2101  1 S 1.50
O 0.5210 0.7981 0.7899  1 S 1.50
O 0.1332 0.1001 0.3573  1 S 1.51
O 0.8668 0.8999 0.6427  1 S 1.51
O 0.0362 0.3954 0.2567  1 S 1.45
O 0.9638 0.6046 0.7433  1 S 1.45
O 0.0211 0.2133 0.0489  1 S 1.52
O 0.9789 0.7867 0.9511  1 S 1.52
O 0.5998 0.0915 0.9699  1 Mn 1.87
O 0.4002 0.9085 0.0301  1 Mn 1.87
O 0.0315 0.0635 0.7700  1 Mn 1.85
O 0.9685 0.9365 0.2300  1 Mn 1.85
N 0.5900 0.3066 0.6581  1 C 1.17
N 0.4100 0.6934 0.3419  1 C 1.17